# 1
The following is a DFT calculation (PBE) of a relaxed structure of CePrInPb.

Output
DOS at the Fermi energy in states/eV/f.u.: 8.832
Calculated volume in Å³ per cell: 118.2
Energy of formation in eV/f.u.: -1.7
Crystal system: tetragonal
SG: I-4m2, No. 119

a = 5.8230 Å, b = 5.8230 Å, c = 5.8230 Å
α = 128.30°, β = 128.30°, γ = 76.14°
Fractional coordinates of all 4 atoms:
1 Ce 0.0000 0.0000 0.0000
2 Pr 0.5000 0.5000 0.0000
3 In 0.7500 0.2500 0.5000
4 Pb 0.2500 0.7500 0.5000

***

# 2
The following is a DFT calculation (PBE) of a relaxed structure of Ni2AgAu.

Output
DOS at the Fermi energy in states/eV/f.u.: 7.406
Calculated volume in Å³ per cell: 58.3
Energy of formation in eV/f.u.: 0.8
Crystal system: monoclinic
SG: Pm, No. 6

a = 2.7652 Å, b = 4.1656 Å, c = 5.2402 Å
α = 90.00°, β = 105.18°, γ = 90.00°
Fractional coordinates of all 4 atoms:
1 Ni 0.0000 0.0000 0.0000
2 Ni 0.0863 0.5000 0.2450
3 Ag 0.7095 0.0000 0.4656
4 Au 0.3785 0.5000 0.7818

***

# 3
The following is a DFT calculation (PBE) of a relaxed structure of RbCd2OsPb.

Output
DOS at the Fermi energy in states/eV/f.u.: 1.614
Calculated volume in Å³ per cell: 152.7
Energy of formation in eV/f.u.: 1.1
Crystal system: tetragonal
SG: P4/mmm, No. 123

a = 5.4063 Å, b = 5.4063 Å, c = 5.2251 Å
α = 90.00°, β = 90.00°, γ = 90.00°
Fractional coordinates of all 5 atoms:
1 Rb 0.0000 0.0000 0.0000
2 Cd 0.0000 0.5000 0.5000
3 Cd 0.5000 0.0000 0.5000
4 Os 0.5000 0.5000 0.5000
5 Pb 0.5000 0.5000 0.0000

***

# 4
The following is a DFT calculation (PBE) of a relaxed structure of AlCu2Se.

Output
DOS at the Fermi energy in states/eV/f.u.: 0.793
Calculated volume in Å³ per cell: 61.4
Formation energy without anion corrections in eV/atom: 0.006
Crystal system: tetragonal
SG: P4mm, No. 99

a = 3.4263 Å, b = 3.4263 Å, c = 5.2308 Å
α = 90.00°, β = 90.00°, γ = 90.00°
Fractional coordinates of all 4 atoms:
1 Al 0.0000 0.0000 0.0000
2 Cu 0.0000 0.0000 0.4607
3 Cu 0.5000 0.5000 0.2718
4 Se 0.5000 0.5000 0.7734

***

# 5
The following is a DFT calculation (PBE) of a relaxed structure of Ta3Re4.

Output
DOS at the Fermi energy in states/eV/f.u.: 5.618
Calculated volume in Å³ per cell: 113.8
Energy of formation in eV/f.u.: -0.9
Crystal system: tetragonal
SG: I4/mmm, No. 139

a = 11.4648 Å, b = 11.4648 Å, c = 11.4648 Å
α = 164.05°, β = 164.05°, γ = 22.64°
Fractional coordinates of all 7 atoms:
1 Ta 0.0000 0.0000 0.0000
2 Ta 0.2880 0.2880 0.0000
3 Ta 0.7120 0.7120 0.0000
4 Re 0.1417 0.1417 0.0000
5 Re 0.4296 0.4296 0.0000
6 Re 0.5704 0.5704 0.0000
7 Re 0.8583 0.8583 0.0000

***

# 6
The following is a DFT calculation (PBE) of a relaxed structure of TlAgTe2.

Output
DOS at the Fermi energy in states/eV/f.u.: 0.021
Calculated volume in Å³ per cell: 258.0
Formation energy without anion corrections in eV/atom: -0.120
Crystal system: triclinic
SG: P-1, No. 2

a = 4.8361 Å, b = 6.9984 Å, c = 8.0306 Å
α = 99.28°, β = 99.64°, γ = 100.79°
Fractional coordinates of all 8 atoms:
1 Tl 0.2322 0.3868 0.1503
2 Tl 0.7678 0.6132 0.8497
3 Ag 0.0423 0.0295 0.3260
4 Ag 0.9577 0.9705 0.6740
5 Te 0.1337 0.3694 0.5930
6 Te 0.4577 0.9044 0.1407
7 Te 0.5423 0.0956 0.8593
8 Te 0.8663 0.6306 0.4070

***

> Which value of calculated volume does entry 4 give?

61.4 Å³ per cell

***

> Which of these has the lowest DOS at the Fermi energy?

TlAgTe2

***

> The highest DOS at the Fermi energy belongs to which entry?

CePrInPb

***

> Which value of DOS at the Fermi energy does entry 5 give?

5.618 states/eV/f.u.